Entry from the Alexandria database: an optimized crystal structure of Tb12Zn6Ru (PBE).

Cell and atoms, written as POSCAR:
```
Tb12Zn6Ru
1.0
-6.6485 4.4780 0.3384
-3.7713 -6.1523 -3.5066
-1.0658 -2.9583 7.3813
Tb Zn Ru
12 6 1
direct
0.8020 0.5676 0.4528
0.4528 0.8020 0.5676
0.5676 0.4528 0.8020
0.1980 0.4324 0.5472
0.5472 0.1980 0.4324
0.4324 0.5472 0.1980
0.9681 0.0949 0.3206
0.9051 0.6794 0.0319
0.6794 0.0319 0.9051
0.0319 0.9051 0.6794
0.0949 0.3206 0.9681
0.3206 0.9681 0.0949
0.6585 0.8595 0.2625
0.7375 0.3415 0.1405
0.1405 0.7375 0.3415
0.3415 0.1405 0.7375
0.2625 0.6585 0.8595
0.8595 0.2625 0.6585
0.0000 0.0000 0.0000
```

Values from the calculation:
The calculation puts the formation energy at -120 meV per atom. The magnetization comes out at 0.00 μB per formula unit.

---

Entry from the Alexandria database: an optimized crystal structure of Sm2MnPd6 (PBE).

Cell and atoms, written as POSCAR:
```
Sm2MnPd6
1.0
-3.5358 -1.6624 2.1531
-1.1210 -4.6582 -5.4375
3.7603 -1.3085 5.1754
Sm Mn Pd
2 1 6
direct
0.4996 0.7582 0.5163
0.5004 0.2418 0.4837
0.0000 0.0000 0.0000
0.9998 0.4333 0.2632
0.0002 0.1700 0.7368
0.0002 0.5667 0.7368
0.5000 0.2096 0.0000
0.9998 0.8300 0.2632
0.5000 0.7904 0.0000
```

Values from the calculation:
The calculation puts the formation energy at -514 meV per atom. The magnetization comes out at 4.27 μB per formula unit.

---

Entry from the Alexandria database: an optimized crystal structure of KGaPb (PBE).

Cell and atoms, written as POSCAR:
```
KGaPb
1.0
14.4328 0.0000 -0.0039
6.1502 2.2294 -3.1582
-6.1502 2.2294 3.1582
Pb K Ga
2 2 2
direct
0.5181 0.3147 0.6853
0.8504 0.8024 0.1976
0.3383 0.7859 0.2141
0.0326 0.3280 0.6720
0.5554 0.9165 0.0835
0.8178 0.1953 0.8047
```

Values from the calculation:
The calculation puts the formation energy at -97 meV per atom. The magnetization comes out at 0.00 μB per formula unit.

---

Entry from the Alexandria database: an optimized crystal structure of Tb2HfTe5 (PBE).

Cell and atoms, written as POSCAR:
```
Tb2HfTe5
1.0
5.9665 0.0000 0.0000
-2.9833 7.2312 0.0000
0.0000 0.0000 14.2641
Tb Hf Te
4 2 10
direct
0.8449 0.6898 0.4413
0.8449 0.6898 0.0587
0.1551 0.3102 0.5587
0.1551 0.3102 0.9413
0.8085 0.6171 0.7500
0.1915 0.3829 0.2500
0.9540 0.9080 0.8781
0.9540 0.9080 0.6219
0.3197 0.6394 0.4131
0.3197 0.6394 0.0869
0.7314 0.4627 0.2500
0.2686 0.5373 0.7500
0.6803 0.3606 0.5869
0.6803 0.3606 0.9131
0.0460 0.0920 0.1219
0.0460 0.0920 0.3781
```

Values from the calculation:
As for the uncorrected formation energy: -8.5 eV per formula unit. The magnetization comes out at 0.00 μB per formula unit.

---

Entry from the Alexandria database: an optimized crystal structure of Li2CrOs (PBE).

Cell and atoms, written as POSCAR:
```
Li2CrOs
1.0
-1.4341 -3.3631 2.5926
2.4140 -2.0310 -1.2994
2.1498 0.9806 2.4612
Cr Li Os
1 2 1
direct
0.5000 0.0000 0.5000
0.0000 0.0000 0.0000
0.0000 0.5000 0.5000
0.5000 0.5000 0.0000
```

Values from the calculation:
The calculation puts the formation energy at 330 meV per atom. The magnetization comes out at 0.11 μB per formula unit. The excess energy over the best structure of this formula in the dataset comes out at 87 meV per atom.

---

Entry from the Alexandria database: an optimized crystal structure of BaFeOs (PBE).

Cell and atoms, written as POSCAR:
```
BaFeOs
1.0
5.6274 -0.0069 -0.0476
0.1359 5.6224 -0.1208
-3.1232 -2.4427 3.9920
Os Ba Fe
2 2 2
direct
0.8408 0.2611 0.6060
0.3401 0.2609 0.1055
0.2201 0.8903 0.3560
0.4617 0.6318 0.8560
0.8403 0.2617 0.1073
0.8408 0.7606 0.6056
```

Values from the calculation:
The calculation puts the formation energy at 631 meV per atom. The magnetization comes out at 2.95 μB per formula unit. The excess energy over the best structure of this formula in the dataset comes out at 285 meV per atom.